(1)
DFT (PBE) results for a relaxed Tl2TcP crystal.

Cell and atoms, written as POSCAR:
```
Tl2TcP
1.0
-2.806 -6.332 5.187
-1.458 -4.563 7.207
-3.337 1.276 1.112
P Tc Tl
1 1 2
Cartesian
-2.132 -5.448 6.197 P
-1.669 0.638 0.556 Tc
-3.649 -2.773 4.867 Tl
-3.953 -6.846 8.639 Tl
```

Fermi-level density of states = 3.01 states/eV/cell
SG = C2/m (12)
energy above the most stable polymorph in this dataset = 0.151 eV/atom
energy of formation from the pure elements = 0.157 eV per atom

(2)
DFT (PBE) results for a relaxed Tl2TcP crystal.

Cell and atoms, written as POSCAR:
```
Tl2TcP
1.0
1.794 -5.562 3.662
4.103 -0.742 5.494
-5.437 2.580 -3.369
P Tl Tc
1 2 1
Cartesian
3.416 -3.652 5.303 P
5.619 -6.008 8.725 Tl
0.822 -0.673 3.374 Tl
-0.552 -2.848 2.117 Tc
```

Fermi-level density of states = 2.93 states/eV/cell
SG = Imm2 (44)
energy above the most stable polymorph in this dataset = 0.282 eV/atom
energy of formation from the pure elements = 0.289 eV per atom

(3)
DFT (PBE) results for a relaxed Tl2TcP crystal.

Cell and atoms, written as POSCAR:
```
Tl2TcP
1.0
-3.083 -0.153 -0.354
-0.117 -2.343 2.037
-1.021 5.660 6.454
P Tl Tc
1 2 1
Cartesian
-1.600 -1.248 0.842 P
-0.271 1.500 1.711 Tl
-0.750 4.160 4.743 Tl
-2.111 1.582 4.069 Tc
```

Fermi-level density of states = 3.13 states/eV/cell
SG = P4/mmm (123)
energy above the most stable polymorph in this dataset = 0.902 eV/atom
energy of formation from the pure elements = 0.908 eV per atom